# 1
VASP calculation (PBE) on a geometry-optimized Ta2ZnIr structure.

Its energy of formation is -0.24 eV/atom. The total energy comes out at -34.8 eV per cell. For the density of states at the Fermi level, the calculation gives 3.27 states/eV per cell.

The structure belongs to space group Pmmm (No. 47); the cell edges are 3.9948, 4.0127 and 4.0162 Å and the angles 90.00°, 90.00° and 90.00°. The inequivalent atoms are Ta at (0.0000, 0.0000, 0.0000), Ta at (0.5000, 0.0000, 0.5000), Zn at (0.0000, 0.5000, 0.5000) and Ir at (0.5000, 0.5000, 0.0000).

***

# 2
VASP calculation (PBE) on a geometry-optimized Ta2ZnIr structure.

Its energy of formation is -0.19 eV/atom. The total energy comes out at -34.6 eV per cell. For the density of states at the Fermi level, the calculation gives 3.84 states/eV per cell.

The structure belongs to space group P4mm (No. 99); the cell edges are 2.9351, 2.9351 and 7.6278 Å and the angles 90.00°, 90.00° and 90.00°. The inequivalent atoms are Ta at (0.0000, 0.0000, 0.0000), Ta at (0.5000, 0.5000, 0.2955), Zn at (0.0000, 0.0000, 0.5495) and Ir at (0.5000, 0.5000, 0.7702).

***

# 3
VASP calculation (PBE) on a geometry-optimized Zr2TaZn2Ir5 structure.

Its energy of formation is -0.54 eV/atom. The total energy comes out at -162.5 eV per cell. For the density of states at the Fermi level, the calculation gives 12.31 states/eV per cell.

The structure belongs to space group P4/mbm (No. 127); the cell edges are 9.3716, 9.3716 and 3.7210 Å and the angles 90.00°, 90.00° and 90.00°. The inequivalent atoms are Zr at (0.1722, 0.3278, 0.0000), Ta at (0.0000, 0.0000, 0.0000), Zn at (0.1246, 0.6246, 0.0000), Ir at (0.0000, 0.5000, 0.5000) and Ir at (0.0702, 0.7979, 0.5000).

***

# 4
VASP calculation (PBE) on a geometry-optimized ZrTaIr2 structure.

Its energy of formation is 0.39 eV/atom. The total energy comes out at -146.3 eV per cell. For the density of states at the Fermi level, the calculation gives 17.49 states/eV per cell.

The structure belongs to space group I-42d (No. 122); the cell edges are 5.9932, 5.9932 and 11.3659 Å and the angles 90.00°, 90.00° and 90.00°. The inequivalent atoms are Zr at (0.0000, 0.0000, 0.0000), Ta at (0.0000, 0.0000, 0.5000) and Ir at (0.2327, 0.2500, 0.6250).

***

# 5
VASP calculation (PBE) on a geometry-optimized ZrTaIr2 structure.

Its energy of formation is -0.40 eV/atom. The total energy comes out at -39.7 eV per cell. For the density of states at the Fermi level, the calculation gives 2.90 states/eV per cell.

The structure belongs to space group Pmm2 (No. 25); the cell edges are 3.1084, 3.7417 and 6.0263 Å and the angles 90.00°, 90.00° and 90.00°. The inequivalent atoms are Zr at (0.0000, 0.0000, 0.0000), Ta at (0.5000, 0.5000, 0.6823), Ir at (0.0000, 0.0000, 0.4971) and Ir at (0.5000, 0.5000, 0.2087).

***

# 6
VASP calculation (PBE) on a geometry-optimized ZrTaIr2 structure.

Its energy of formation is -0.04 eV/atom. The total energy comes out at -114.8 eV per cell. For the density of states at the Fermi level, the calculation gives 15.60 states/eV per cell.

The structure belongs to space group R3m (No. 160, hexagonal axes); the cell edges are 3.0044, 3.0044 and 27.0300 Å and the angles 90.00°, 90.00° and 120.00°. The inequivalent atoms are Zr at (0.0000, 0.0000, 0.0000), Ta at (0.0000, 0.0000, 0.7585), Ir at (0.0000, 0.0000, 0.2533) and Ir at (0.0000, 0.0000, 0.5005).

***

# 7
VASP calculation (PBE) on a geometry-optimized ZrTaIr2 structure.

Its energy of formation is -0.66 eV/atom. The total energy comes out at -40.8 eV per cell. For the density of states at the Fermi level, the calculation gives 3.21 states/eV per cell.

The structure belongs to space group P4/mmm (No. 123); the cell edges are 3.0176, 3.0176 and 7.5330 Å and the angles 90.00°, 90.00° and 90.00°. The inequivalent atoms are Zr at (0.0000, 0.0000, 0.0000), Ta at (0.0000, 0.0000, 0.5000) and Ir at (0.5000, 0.5000, 0.2722).

***

# 8
VASP calculation (PBE) on a geometry-optimized ZrTaIr2 structure.

Its energy of formation is -0.57 eV/atom. The total energy comes out at -40.4 eV per cell. For the density of states at the Fermi level, the calculation gives 4.54 states/eV per cell.

The structure belongs to space group P4/mmm (No. 123); the cell edges are 4.8384, 4.8384 and 2.9406 Å and the angles 90.00°, 90.00° and 90.00°. The inequivalent atoms are Zr at (0.0000, 0.0000, 0.0000), Ta at (0.5000, 0.5000, 0.0000) and Ir at (0.0000, 0.5000, 0.5000).